[1]
Here is crystalline Li2TeOs at its relaxed geometry from the Alexandria database. Energies are from PBEsol.

Lattice parameters (Å, degrees): 2.787 5.090 5.090 117.02 90.00 90.00
Positions (direct):
Li1 0.000 0.500 0.000
Te1 0.500 0.500 0.500
Li2 0.000 0.000 0.500
Os1 0.500 0.000 0.000

Values from the calculation:
Space-group type: No. 65
Raw formation energy (eV per atom): 0.20

[2]
Here is crystalline LiTlOs2 at its relaxed geometry from the Alexandria database. Energies are from PBEsol.

Lattice parameters (Å, degrees): 2.801 4.608 5.520 114.20 103.97 91.69
Positions (direct):
Os1 0.500 0.500 0.500
Tl1 0.500 0.000 0.000
Li1 0.000 0.500 0.000
Os2 0.000 0.000 0.500

Values from the calculation:
Space-group type: No. 12
Energy relative to the elements (eV/atom): 0.6405

[3]
Here is crystalline LiTlOs2 at its relaxed geometry from the Alexandria database. Energies are from PBEsol.

Lattice parameters (Å, degrees): 3.735 3.735 4.420 90.00 90.00 90.00
Positions (direct):
Li1 0.000 0.000 0.500
Os1 0.500 0.000 0.000
Os2 0.000 0.500 0.000
Tl1 0.500 0.500 0.500

Values from the calculation:
Space-group type: No. 123
Energy relative to the elements (eV/atom): 0.7170

[4]
Here is crystalline Li2TlOs at its relaxed geometry from the Alexandria database. Energies are from PBEsol.

Lattice parameters (Å, degrees): 2.919 2.919 9.588 81.24 81.24 60.00
Positions (direct):
Tl1 0.247 0.247 0.259
Li1 0.757 0.757 0.728
Os1 0.498 0.498 0.506
Li2 0.998 0.998 0.006

Values from the calculation:
Space-group type: No. 160
Energy relative to the elements (eV/atom): 0.4310

[5]
Here is crystalline Li2TlOs at its relaxed geometry from the Alexandria database. Energies are from PBEsol.

Lattice parameters (Å, degrees): 3.060 4.533 5.336 115.13 106.66 90.00
Each line ends with the local moment (μB).
Positions (direct):
Li1 0.761 0.761 0.523  0.00
Os1 0.500 0.000 0.000  0.09
Tl1 0.000 0.500 0.000  0.00
Li2 0.239 0.239 0.477  0.00

Values from the calculation:
Space-group type: No. 71
Energy relative to the elements (eV/atom): 0.3162

[6]
Here is crystalline Li2TlOs at its relaxed geometry from the Alexandria database. Energies are from PBEsol.

Lattice parameters (Å, degrees): 2.712 4.254 5.573 90.00 90.00 90.00
Positions (direct):
Li1 0.000 0.000 0.008
Os1 0.000 0.000 0.483
Tl1 0.500 0.500 0.746
Li2 0.500 0.500 0.263

Values from the calculation:
Space-group type: No. 25
Energy relative to the elements (eV/atom): 0.3560

[7]
Here is crystalline LiOs2W at its relaxed geometry from the Alexandria database. Energies are from PBEsol.

Lattice parameters (Å, degrees): 3.059 4.239 4.239 90.00 90.00 90.00
Positions (direct):
Os1 0.000 0.500 0.000
Li1 0.500 0.000 0.000
W1 0.500 0.500 0.500
Os2 0.000 0.000 0.500

Values from the calculation:
Space-group type: No. 123
Energy relative to the elements (eV/atom): 0.2590

[8]
Here is crystalline LiOs2W at its relaxed geometry from the Alexandria database. Energies are from PBEsol.

Lattice parameters (Å, degrees): 3.064 3.064 5.740 90.00 90.00 90.00
Positions (direct):
Li1 0.500 0.500 0.762
Os1 0.500 0.500 0.262
W1 0.000 0.000 0.519
Os2 0.000 0.000 0.957

Values from the calculation:
Space-group type: No. 99
Energy relative to the elements (eV/atom): 0.4980

[9]
Here is crystalline LiOs2W at its relaxed geometry from the Alexandria database. Energies are from PBEsol.

Lattice parameters (Å, degrees): 2.660 2.660 8.997 90.00 90.00 114.51
Positions (direct):
Os1 0.000 0.000 0.252
Li1 0.500 0.500 0.000
W1 0.500 0.500 0.500
Os2 0.000 0.000 0.748

Values from the calculation:
Space-group type: No. 65
Energy relative to the elements (eV/atom): 0.3277

[10]
Here is crystalline LiOsW2 at its relaxed geometry from the Alexandria database. Energies are from PBEsol.

Lattice parameters (Å, degrees): 2.720 2.720 8.032 90.00 90.00 90.00
Positions (direct):
Li1 0.000 0.000 0.516
W1 0.500 0.500 0.251
Os1 0.500 0.500 0.752
W2 0.000 0.000 0.981

Values from the calculation:
Space-group type: No. 99
Energy relative to the elements (eV/atom): 0.4951

[11]
Here is crystalline Li4YOs at its relaxed geometry from the Alexandria database. Energies are from PBEsol.

Lattice parameters (Å, degrees): 5.054 5.054 5.054 60.00 60.00 60.00
Positions (direct):
Li1 0.379 0.862 0.379
Li2 0.379 0.379 0.862
Li3 0.379 0.379 0.379
Os1 0.750 0.750 0.750
Y1 0.000 0.000 0.000
Li4 0.862 0.379 0.379

Values from the calculation:
Space-group type: No. 216
Energy relative to the elements (eV/atom): 0.2647

[12]
Here is crystalline LiY2Os at its relaxed geometry from the Alexandria database. Energies are from PBEsol.

Lattice parameters (Å, degrees): 3.411 4.806 6.039 113.45 106.41 90.00
Positions (direct):
Y1 0.749 0.249 0.499
Li1 0.552 0.552 0.105
Os1 0.244 0.744 0.488
Y2 0.954 0.954 0.908

Values from the calculation:
Space-group type: No. 44
Energy relative to the elements (eV/atom): 0.0632